Record 1
## CaTeH3 (PBEsol)

Data for an optimized crystal structure of CaTeH3.

Computed properties:
- symmetry = Pm-3m (221)
- mass density (g/cm3) = 3.776
- calculated volume (Å³ per cell) = 75.08
- raw total energy (Ry per atom) = -0.2041
- crystal system = cubic

Geometry as POSCAR:
```
CaTeH3
1.0
4.219 0.000 0.000
0.000 4.219 0.000
0.000 0.000 4.219
Ca Te H
1 1 3
Cartesian
0.000 0.000 0.000
2.109 2.109 2.109
0.000 2.109 2.109
2.109 0.000 2.109
2.109 2.109 0.000
```



Record 2
## CaTeH2 (PBEsol)

Data for an optimized crystal structure of CaTeH2.

Computed properties:
- symmetry = Fm-3m (225)
- mass density (g/cm3) = 4.734
- calculated volume (Å³ per cell) = 59.52
- raw total energy (Ry per atom) = -0.2381
- crystal system = cubic

Geometry as POSCAR:
```
CaTeH2
1.0
0.000 3.099 3.099
3.099 0.000 3.099
3.099 3.099 0.000
Ca Te H
1 1 2
Cartesian
0.000 0.000 0.000
3.099 3.099 3.099
1.549 1.549 1.549
4.648 4.648 4.648
```



Record 3
## Ca3TlH (PBEsol)

Data for an optimized crystal structure of Ca3TlH.

Computed properties:
- symmetry = Pm-3m (221)
- mass density (g/cm3) = 4.564
- calculated volume (Å³ per cell) = 118.47
- raw total energy (Ry per atom) = -0.2090
- crystal system = cubic

Geometry as POSCAR:
```
Ca3TlH
1.0
4.911 0.000 0.000
0.000 4.911 0.000
0.000 0.000 4.911
Ca Tl H
3 1 1
Cartesian
0.000 0.000 2.456
0.000 2.456 0.000
2.456 0.000 0.000
2.456 2.456 2.456
0.000 0.000 0.000
```



Record 4
## CaY3H (PBEsol)

Data for an optimized crystal structure of CaY3H.

Computed properties:
- symmetry = Pm-3m (221)
- mass density (g/cm3) = 4.095
- calculated volume (Å³ per cell) = 124.81
- raw total energy (Ry per atom) = -0.3872
- crystal system = cubic

Geometry as POSCAR:
```
CaY3H
1.0
4.998 0.000 0.000
0.000 4.998 0.000
0.000 0.000 4.998
Ca Y H
1 3 1
Cartesian
0.000 0.000 0.000
0.000 2.499 2.499
2.499 0.000 2.499
2.499 2.499 0.000
2.499 2.499 2.499
```